BaNaIn2Ni (PBE, relaxed); calculated formation energy = -115 meV/atom; space group = P4/mmm (123); distance to the lowest polymorph of the same formula = 50 meV per atom; theoretical density = 4.937 g cm⁻³
1.0
5.1593 0.0000 0.0000
0.0000 5.1593 0.0000
0.0000 0.0000 5.6692
Ba Na In Ni
1 1 2 1
direct
0.0000 0.0000 0.0000
0.5000 0.5000 0.0000
0.0000 0.5000 0.5000
0.5000 0.0000 0.5000
0.0000 0.0000 0.5000